Record 1
## Ca2HIrO (PBEsol)

Data for an optimized crystal structure of Ca2HIrO.

Calculated values
- total moment (μB/f.u.) = 0.00
- E (eV per formula unit) = -26.13
- Fermi-level density of states (states/eV per cell) = 1.16

abc: 3.0059 4.9066 4.9066
angles: 90.00 90.00 90.00
Element x y z (fractional)
H (0.5000, 0.0000, 0.0000)
Ca (0.0000, 0.0000, 0.5000)
Ca (0.0000, 0.5000, 0.0000)
Ir (0.5000, 0.5000, 0.5000)
O (0.0000, 0.0000, 0.0000)

Record 2
## CaHIrPt2 (PBEsol)

Data for an optimized crystal structure of CaHIrPt2.

Calculated values
- total moment (μB/f.u.) = 0.00
- E (eV per formula unit) = -28.31
- Fermi-level density of states (states/eV per cell) = 4.89

abc: 3.5331 4.9257 4.9257
angles: 90.00 90.00 90.00
Element x y z (fractional)
H (0.5000, 0.0000, 0.0000)
Ca (0.5000, 0.5000, 0.5000)
Ir (0.0000, 0.0000, 0.0000)
Pt (0.0000, 0.0000, 0.5000)
Pt (0.0000, 0.5000, 0.0000)

Record 3
## K2CaMg5Si8H2O24 (PBEsol)

Data for an optimized crystal structure of K2CaMg5Si8H2O24.

Calculated values
- total moment (μB/f.u.) = 0.01
- E (eV per formula unit) = -305.06
- Fermi-level density of states (states/eV per cell) = 0.00

abc: 5.2899 10.2086 10.3907
angles: 115.24 97.44 104.76
Element x y z (fractional)
K (0.5036, 0.5056, 0.0096)
K (0.2153, 0.7159, 0.4313)
Ca (0.7787, 0.2794, 0.5582)
Mg (0.4106, 0.9112, 0.8216)
Mg (0.5882, 0.0889, 0.1773)
Mg (0.8191, 0.8197, 0.6388)
Mg (0.1779, 0.1786, 0.3565)
Mg (0.9983, 0.9990, 0.9974)
Si (0.3012, 0.1125, 0.6568)
Si (0.6378, 0.4500, 0.3444)
Si (0.7058, 0.8951, 0.3445)
Si (0.3553, 0.5449, 0.6570)
Si (0.8823, 0.1860, 0.8277)
Si (0.0461, 0.3520, 0.1683)
Si (0.1213, 0.8169, 0.1684)
Si (0.9452, 0.6423, 0.8278)
H (0.4367, 0.2025, 0.0011)
H (0.5635, 0.7991, 0.0007)
O (0.0260, 0.3268, 0.9989)
O (0.9721, 0.6727, 0.9990)
O (0.8017, 0.0219, 0.8247)
O (0.9731, 0.1917, 0.1727)
O (0.1988, 0.9816, 0.1727)
O (0.0226, 0.8034, 0.8247)
O (0.1049, 0.2145, 0.7359)
O (0.3627, 0.4630, 0.2567)
O (0.8930, 0.7943, 0.2567)
O (0.6308, 0.5219, 0.7358)
O (0.2224, 0.9559, 0.6685)
O (0.5609, 0.2859, 0.3468)
O (0.7851, 0.0615, 0.3468)
O (0.4457, 0.7133, 0.6686)
O (0.6225, 0.2256, 0.7684)
O (0.8334, 0.4414, 0.2260)
O (0.3917, 0.7853, 0.2262)
O (0.1460, 0.5436, 0.7688)
O (0.3880, 0.1045, 0.0015)
O (0.6129, 0.8977, 0.0015)
O (0.3252, 0.1197, 0.5073)
O (0.7856, 0.6016, 0.4982)
O (0.7119, 0.8974, 0.4984)
O (0.1814, 0.3881, 0.5075)

Record 4
## KCaSiHO4 (PBEsol)

Data for an optimized crystal structure of KCaSiHO4.

Calculated values
- total moment (μB/f.u.) = 0.00
- E (eV per formula unit) = -52.90
- Fermi-level density of states (states/eV per cell) = 0.00

abc: 5.5380 5.5894 7.4229
angles: 90.00 90.00 118.88
Element x y z (fractional)
K (0.6462, 0.2840, 0.2358)
K (0.3538, 0.7160, 0.7358)
Ca (0.0034, 0.9955, 0.4872)
Ca (0.9966, 0.0045, 0.9872)
Si (0.3162, 0.6264, 0.2433)
Si (0.6838, 0.3736, 0.7433)
H (0.0252, 0.5244, 0.9981)
H (0.9748, 0.4756, 0.4981)
O (0.6522, 0.7905, 0.2373)
O (0.3478, 0.2095, 0.7373)
O (0.1869, 0.2935, 0.2399)
O (0.8131, 0.7065, 0.7399)
O (0.1854, 0.7143, 0.4135)
O (0.8146, 0.2857, 0.9135)
O (0.1836, 0.7062, 0.0618)
O (0.8164, 0.2938, 0.5618)

Record 5
## Ca2LaH (PBEsol)

Data for an optimized crystal structure of Ca2LaH.

Calculated values
- total moment (μB/f.u.) = 2.15
- E (eV per formula unit) = -9.72
- Fermi-level density of states (states/eV per cell) = 5.81

abc: 5.6401 5.6401 5.6401
angles: 60.00 60.00 60.00
Each line ends with the local moment (μB).
Element x y z (fractional)
H (0.0000, 0.0000, 0.0000)  -0.01
Ca (0.2500, 0.2500, 0.2500)  0.14
Ca (0.7500, 0.7500, 0.7500)  0.14
La (0.5000, 0.5000, 0.5000)  0.57

Record 6
## CaLaMg2H (PBEsol)

Data for an optimized crystal structure of CaLaMg2H.

Calculated values
- total moment (μB/f.u.) = 0.01
- E (eV per formula unit) = -7.60
- Fermi-level density of states (states/eV per cell) = 7.17

abc: 5.7877 5.7877 5.8473
angles: 90.00 90.00 90.00
Element x y z (fractional)
H (0.5000, 0.5000, 0.5000)
Ca (0.0000, 0.0000, 0.0000)
Mg (0.0000, 0.5000, 0.0000)
Mg (0.5000, 0.0000, 0.0000)
La (0.0000, 0.0000, 0.5000)

Record 7
## Li3CaH (PBEsol)

Data for an optimized crystal structure of Li3CaH.

Calculated values
- total moment (μB/f.u.) = 0.00
- E (eV per formula unit) = -10.94
- Fermi-level density of states (states/eV per cell) = 3.25

abc: 4.6273 4.6273 4.6273
angles: 90.00 90.00 90.00
Element x y z (fractional)
H (0.0000, 0.0000, 0.0000)
Ca (0.5000, 0.5000, 0.5000)
Li (0.0000, 0.5000, 0.0000)
Li (0.0000, 0.0000, 0.5000)
Li (0.5000, 0.0000, 0.0000)

Record 8
## LiCa2H2 (PBEsol)

Data for an optimized crystal structure of LiCa2H2.

Calculated values
- total moment (μB/f.u.) = 0.00
- E (eV per formula unit) = -14.46
- Fermi-level density of states (states/eV per cell) = 2.54

abc: 3.8939 3.8939 7.0773
angles: 105.97 105.97 90.00
Element x y z (fractional)
H (0.2500, 0.7500, 0.5000)
H (0.7500, 0.2500, 0.5000)
Ca (0.3413, 0.3413, 0.6827)
Ca (0.6587, 0.6587, 0.3173)
Li (0.0000, 0.0000, 0.0000)

Record 9
## LiCaHN2 (PBEsol)

Data for an optimized crystal structure of LiCaHN2.

Calculated values
- total moment (μB/f.u.) = 0.01
- E (eV per formula unit) = -19.53
- Fermi-level density of states (states/eV per cell) = 3.13

abc: 3.4051 3.4051 4.8549
angles: 90.00 90.00 90.00
Element x y z (fractional)
H (0.5000, 0.5000, 0.5000)
Ca (0.0000, 0.0000, 0.5000)
N (0.0000, 0.5000, 0.0000)
N (0.5000, 0.0000, 0.0000)
Li (0.0000, 0.0000, 0.0000)

Record 10
## LiCaP3H8O13 (PBEsol)

Data for an optimized crystal structure of LiCaP3H8O13.

Calculated values
- total moment (μB/f.u.) = 0.03
- E (eV per formula unit) = -163.11
- Fermi-level density of states (states/eV per cell) = 0.00

abc: 7.2110 7.4792 10.1471
angles: 86.83 73.84 79.27
Element x y z (fractional)
H (0.6493, 0.6184, 0.0149)
H (0.3507, 0.3816, 0.9851)
H (0.8547, 0.6588, 0.0250)
H (0.1453, 0.3412, 0.9750)
H (0.3605, 0.9693, 0.9643)
H (0.6395, 0.0307, 0.0357)
H (0.3053, 0.8490, 0.0942)
H (0.6947, 0.1510, 0.9058)
H (0.7023, 0.7016, 0.4019)
H (0.2977, 0.2984, 0.5981)
H (0.8264, 0.8229, 0.4503)
H (0.1736, 0.1771, 0.5497)
H (0.9327, 0.7237, 0.2133)
H (0.0673, 0.2763, 0.7867)
H (0.0882, 0.6053, 0.0899)
H (0.9118, 0.3947, 0.9101)
Ca (0.8277, 0.8098, 0.7618)
Ca (0.1723, 0.1902, 0.2382)
P (0.7405, 0.1882, 0.5118)
P (0.2595, 0.8118, 0.4882)
P (0.5874, 0.4513, 0.7343)
P (0.4126, 0.5487, 0.2657)
P (0.3343, 0.8038, 0.7516)
P (0.6657, 0.1962, 0.2484)
O (0.8980, 0.2917, 0.4372)
O (0.1020, 0.7083, 0.5628)
O (0.7897, 0.0129, 0.5826)
O (0.2103, 0.9871, 0.4174)
O (0.5669, 0.3236, 0.6165)
O (0.4331, 0.6764, 0.3835)
O (0.3854, 0.8496, 0.5894)
O (0.6146, 0.1504, 0.4106)
O (0.7549, 0.5501, 0.6748)
O (0.2451, 0.4499, 0.3252)
O (0.5767, 0.3456, 0.8647)
O (0.4233, 0.6544, 0.1353)
O (0.3786, 0.5843, 0.7539)
O (0.6214, 0.4157, 0.2461)
O (0.1194, 0.8615, 0.8164)
O (0.8806, 0.1385, 0.1836)
O (0.4785, 0.8768, 0.8055)
O (0.5215, 0.1232, 0.1945)
O (0.2123, 0.3841, 0.0414)
O (0.7877, 0.6159, 0.9586)
O (0.2656, 0.9737, 0.0574)
O (0.7344, 0.0263, 0.9426)
O (0.8376, 0.7187, 0.3905)
O (0.1624, 0.2813, 0.6095)
O (0.9836, 0.7172, 0.1110)
O (0.0164, 0.2828, 0.8890)
Li (0.0000, 0.5000, 0.5000)
Li (0.0000, 0.0000, 0.0000)

Record 11
## LiCaTaH2 (PBEsol)

Data for an optimized crystal structure of LiCaTaH2.

Calculated values
- total moment (μB/f.u.) = 0.00
- E (eV per formula unit) = -20.77
- Fermi-level density of states (states/eV per cell) = 2.56

abc: 3.7975 3.7975 5.0831
angles: 90.00 90.00 90.00
Element x y z (fractional)
H (0.0000, 0.5000, 0.0000)
H (0.5000, 0.0000, 0.0000)
Ca (0.5000, 0.5000, 0.5000)
Li (0.0000, 0.0000, 0.5000)
Ta (0.0000, 0.0000, 0.0000)

Record 12
## CaMgH3 (PBEsol)

Data for an optimized crystal structure of CaMgH3.

Calculated values
- total moment (μB/f.u.) = 0.00
- E (eV per formula unit) = -13.72
- Fermi-level density of states (states/eV per cell) = 1.41

abc: 4.1360 4.1360 4.1360
angles: 90.00 90.00 90.00
Element x y z (fractional)
H (0.0000, 0.5000, 0.0000)
H (0.0000, 0.0000, 0.5000)
H (0.5000, 0.0000, 0.0000)
Ca (0.0000, 0.0000, 0.0000)
Mg (0.5000, 0.5000, 0.5000)